A | First-principles (PBE) data for a relaxed structure of Ba2NaLi, as listed in Alexandria.

Lattice parameters (Å, degrees): 14.917 15.702 21.188 90.00 90.00 90.00
Space group Immm (No. 71)
Symmetry-distinct sites (fractional):
Ba: 0.000 0.243 0.000
Na: 0.000 0.500 0.000
Li: 0.000 0.000 0.000

Crystal system = orthorhombic
Fermi-level density of states = 1.241 states/eV/atom
Magnetic moment = 0.15 μB/atom


B | First-principles (PBE) data for a relaxed structure of Ba2NaLi, as listed in Alexandria.

Lattice parameters (Å, degrees): 4.398 4.398 9.725 90.00 90.00 90.00
Space group P4/mmm (No. 123)
Symmetry-distinct sites (fractional):
Ba: 0.000 0.000 0.223
Na: 0.500 0.500 0.500
Li: 0.500 0.500 0.000

Crystal system = tetragonal
Fermi-level density of states = 1.371 states/eV/atom
Magnetic moment = 0.00 μB/atom


Stability, lowest: A


A | First-principles (PBE) data for a relaxed structure of Ba2NaLi, as listed in Alexandria.

Lattice parameters (Å, degrees): 9.114 9.114 9.114 90.00 90.00 90.00
Space group Fm-3m (No. 225)
Symmetry-distinct sites (fractional):
Ba: 0.250 0.250 0.250
Na: 0.000 0.000 0.000
Li: 0.000 0.000 0.500

Crystal system = cubic
Fermi-level density of states = 1.775 states/eV/atom
Magnetic moment = 0.00 μB/atom


B | First-principles (PBE) data for a relaxed structure of Ba2NaLi, as listed in Alexandria.

Lattice parameters (Å, degrees): 7.407 4.269 12.518 90.00 101.54 90.00
Space group Cm (No. 8)
Symmetry-distinct sites (fractional):
Ba: 0.000 0.000 0.000
Ba: 0.178 0.000 0.535
Na: 0.256 0.500 0.268
Li: 0.089 0.500 0.767

Crystal system = monoclinic
Fermi-level density of states = 1.003 states/eV/atom
Magnetic moment = 0.00 μB/atom


Stability, lowest: B


A | First-principles (PBE) data for a relaxed structure of BaNa2Li2, as listed in Alexandria.

Lattice parameters (Å, degrees): 13.768 4.403 6.333 90.00 102.10 90.00
Space group C2/m (No. 12)
Symmetry-distinct sites (fractional):
Ba: 0.000 0.000 0.000
Na: 0.135 0.500 0.567
Li: 0.229 0.500 0.136

Crystal system = monoclinic
Fermi-level density of states = 0.661 states/eV/atom
Magnetic moment = 0.00 μB/atom


B | First-principles (PBE) data for a relaxed structure of BaNa2Li2, as listed in Alexandria.

Lattice parameters (Å, degrees): 9.565 9.565 3.925 90.00 90.00 90.00
Space group P4/mbm (No. 127)
Symmetry-distinct sites (fractional):
Ba: 0.000 0.000 0.000
Na: 0.167 0.333 0.500
Li: 0.121 0.621 0.000

Crystal system = tetragonal
Fermi-level density of states = 0.816 states/eV/atom
Magnetic moment = 0.00 μB/atom


Stability, lowest: B


A | First-principles (PBE) data for a relaxed structure of Ba3Na5Li2, as listed in Alexandria.

Lattice parameters (Å, degrees): 14.746 15.274 7.714 90.00 90.00 90.00
Space group Ibam (No. 72)
Symmetry-distinct sites (fractional):
Ba: 0.000 0.000 0.250
Ba: 0.250 0.116 0.000
Na: 0.000 0.250 0.250
Na: 0.000 0.500 0.250
Na: 0.145 0.371 0.000
Li: 0.150 0.143 0.500

Crystal system = orthorhombic
Fermi-level density of states = 0.791 states/eV/atom
Magnetic moment = 0.00 μB/atom


B | First-principles (PBE) data for a relaxed structure of Ba3Na5Li2, as listed in Alexandria.

Lattice parameters (Å, degrees): 12.759 12.759 5.198 90.00 90.00 90.00
Space group P4/mbm (No. 127)
Symmetry-distinct sites (fractional):
Ba: 0.000 0.000 0.000
Ba: 0.182 0.318 0.000
Na: 0.000 0.500 0.500
Na: 0.064 0.773 0.500
Li: 0.106 0.606 0.000

Crystal system = tetragonal
Fermi-level density of states = 0.667 states/eV/atom
Magnetic moment = 0.00 μB/atom


Stability, lowest: A